Computed, not measured: a PBEsol-optimized structure of Y2NiAuSe at the SCAN level of DFT.

Output
Crystal system: tetragonal
Formation energy (no corrections): -0.590 eV/atom

abc: 5.2816 5.2816 4.1935
angles: 90.00 90.00 90.00
Space group P4/mmm (No. 123)
One atom of each set of equivalent atoms:
Y: 0.0000 0.5000 0.0000 (multiplicity 2)
Ni: 0.0000 0.0000 0.5000 (multiplicity 1)
Au: 0.5000 0.5000 0.5000 (multiplicity 1)
Se: 0.0000 0.0000 0.0000 (multiplicity 1)

Computed, not measured: a PBEsol-optimized structure of BeIn2Mo at the SCAN level of DFT.

Output
Crystal system: tetragonal
Energy of formation from the pure elements: 8.89 kcal/mol of atoms

abc: 2.8548 2.8548 8.6638
angles: 90.00 90.00 90.00
Space group P4mm (No. 99)
One atom of each set of equivalent atoms:
Be: 0.0000 0.0000 0.0000 (multiplicity 1)
In: 0.0000 0.0000 0.5675 (multiplicity 1)
In: 0.5000 0.5000 0.2302 (multiplicity 1)
Mo: 0.5000 0.5000 0.8220 (multiplicity 1)

Computed, not measured: a PBEsol-optimized structure of ScRu2Br at the SCAN level of DFT.

Output
Crystal system: monoclinic
Formation energy (no corrections): 0.225 eV/atom

abc: 5.4361 8.9916 3.0051
angles: 90.00 120.63 90.00
Space group C2/m (No. 12)
One atom of each set of equivalent atoms:
Sc: 0.0000 0.0000 0.0000 (multiplicity 2)
Ru: 0.2500 0.2500 0.5000 (multiplicity 4)
Br: 0.0000 0.5000 0.0000 (multiplicity 2)

Computed, not measured: a PBEsol-optimized structure of TaReTeI2 at the SCAN level of DFT.

Output
Crystal system: tetragonal
Formation energy (no corrections): 1.695 eV/atom

abc: 5.2761 5.2761 5.0622
angles: 90.00 90.00 90.00
Space group P4/mmm (No. 123)
One atom of each set of equivalent atoms:
Ta: 0.0000 0.0000 0.0000 (multiplicity 1)
Re: 0.5000 0.5000 0.5000 (multiplicity 1)
Te: 0.5000 0.5000 0.0000 (multiplicity 1)
I: 0.0000 0.5000 0.5000 (multiplicity 2)

Computed, not measured: a PBEsol-optimized structure of LiMnBe2 at the SCAN level of DFT.

Output
Crystal system: monoclinic
Energy of formation from the pure elements: 3.38 kcal/mol of atoms

abc: 8.4327 2.2650 4.1147
angles: 90.00 106.80 90.00
Space group Cm (No. 8)
One atom of each set of equivalent atoms:
Li: 0.0000 0.0000 0.0000 (multiplicity 2)
Mn: 0.2878 0.5000 0.3849 (multiplicity 2)
Be: 0.0380 0.5000 0.5087 (multiplicity 2)
Be: 0.2479 0.0000 0.8621 (multiplicity 2)

Computed, not measured: a PBEsol-optimized structure of KReH2 at the SCAN level of DFT.

Output
Crystal system: tetragonal
Total energy: -83.40 eV/f.u.

abc: 5.2659 5.2659 7.1550
angles: 90.00 90.00 90.00
Space group I-42d (No. 122)
One atom of each set of equivalent atoms:
K: 0.0000 0.0000 0.0000 (multiplicity 4)
Re: 0.0000 0.0000 0.5000 (multiplicity 4)
H: 0.1522 0.2500 0.6250 (multiplicity 8)

Computed, not measured: a PBEsol-optimized structure of AsPb2 at the SCAN level of DFT.

Output
Crystal system: orthorhombic
Energy of formation from the pure elements: 0.73 kcal/mol of atoms

abc: 4.0861 13.6439 6.0281
angles: 90.00 90.00 90.00
Space group Cmcm (No. 63)
One atom of each set of equivalent atoms:
As: 0.0000 0.1871 0.2500 (multiplicity 4)
Pb: 0.0000 0.1614 0.7500 (multiplicity 4)
Pb: 0.0000 0.4592 0.7500 (multiplicity 4)

Computed, not measured: a PBEsol-optimized structure of AlCu at the SCAN level of DFT.

Output
Crystal system: cubic
Energy of formation from the pure elements: -6.30 kcal/mol of atoms

abc: 2.9571 2.9571 2.9571
angles: 90.00 90.00 90.00
Space group Pm-3m (No. 221)
One atom of each set of equivalent atoms:
Al: 0.0000 0.0000 0.0000 (multiplicity 1)
Cu: 0.5000 0.5000 0.5000 (multiplicity 1)

Computed, not measured: a PBEsol-optimized structure of TaRe2IrW at the SCAN level of DFT.

Output
Crystal system: tetragonal
Energy of formation from the pure elements: 58.41 kcal/mol of atoms

abc: 4.6367 4.6367 4.5909
angles: 90.00 90.00 90.00
Space group P4/mmm (No. 123)
One atom of each set of equivalent atoms:
Ta: 0.0000 0.0000 0.0000 (multiplicity 1)
Re: 0.0000 0.5000 0.0000 (multiplicity 2)
Ir: 0.0000 0.0000 0.5000 (multiplicity 1)
W: 0.5000 0.5000 0.5000 (multiplicity 1)

Computed, not measured: a PBEsol-optimized structure of La4P9Rh8 at the SCAN level of DFT.

Output
Crystal system: orthorhombic
Energy of formation from the pure elements: -28.42 kcal/mol of atoms

abc: 12.9471 18.8325 5.7222
angles: 90.00 90.00 90.00
Space group Cmcm (No. 63)
One atom of each set of equivalent atoms:
La: 0.0000 0.1109 0.2500 (multiplicity 4)
La: 0.0000 0.3605 0.7500 (multiplicity 4)
La: 0.2246 0.3647 0.2500 (multiplicity 8)
P: 0.0000 0.4261 0.2500 (multiplicity 4)
P: 0.0805 0.0645 0.7500 (multiplicity 8)
P: 0.1240 0.2406 0.5019 (multiplicity 16)
P: 0.2166 0.4289 0.7500 (multiplicity 8)
Rh: 0.0000 0.1837 0.7500 (multiplicity 4)
Rh: 0.0000 0.2927 0.2500 (multiplicity 4)
Rh: 0.1055 0.5000 0.0000 (multiplicity 8)
Rh: 0.1811 0.0000 0.0000 (multiplicity 8)
Rh: 0.2434 0.3037 0.7500 (multiplicity 8)

Computed, not measured: a PBEsol-optimized structure of LaFe2W at the SCAN level of DFT.

Output
Crystal system: tetragonal
Energy of formation from the pure elements: 15.94 kcal/mol of atoms

abc: 4.6261 4.6261 2.9559
angles: 90.00 90.00 90.00
Space group P4/mmm (No. 123)
One atom of each set of equivalent atoms:
La: 0.0000 0.0000 0.0000 (multiplicity 1)
Fe: 0.0000 0.5000 0.5000 (multiplicity 2)
W: 0.5000 0.5000 0.0000 (multiplicity 1)

Computed, not measured: a PBEsol-optimized structure of Ag2SbPb2 at the SCAN level of DFT.

Output
Crystal system: tetragonal
Formation energy (no corrections): 0.104 eV/atom

abc: 7.4090 7.4090 4.4028
angles: 90.00 90.00 90.00
Space group P4/mbm (No. 127)
One atom of each set of equivalent atoms:
Ag: 0.1313 0.3687 0.0000 (multiplicity 4)
Sb: 0.0000 0.0000 0.0000 (multiplicity 2)
Pb: 0.1682 0.6682 0.5000 (multiplicity 4)

Asked for calculated volume across the records above, the calculation gives 117.0; 70.6; 126.4; 140.9; 75.2; 198.4; 336.1; 25.9; 98.7; 1395.2; 63.3; 241.7 Å³ per cell in order.